No. 1
A plane-wave DFT calculation with PBEsol was carried out for a relaxed structure of Zr3GaNi.

The structure in POSCAR format:
```
Zr3GaNi
1.0
-4.715 0.618 -0.029
-0.045 -0.122 4.754
0.617 4.714 0.127
Ni Ga Zr
1 1 3
direct
0.000 0.000 0.000 Ni
0.500 0.500 0.500 Ga
0.000 0.500 0.000 Zr
0.000 0.000 0.500 Zr
0.500 0.000 0.000 Zr
```

Computed properties:
formation enthalpy at 0 K	0.495	eV per formula unit
Fermi-level density of states	3.92	states/eV/cell
total magnetic moment	0.00	μB/cell
space-group type	Pm-3m
E	-7.25	eV/atom



No. 2
A plane-wave DFT calculation with PBEsol was carried out for a relaxed structure of Al3ZnIn.

The structure in POSCAR format:
```
Al3ZnIn
1.0
-2.020 -3.716 -2.156
-0.055 -2.360 4.119
-4.296 1.778 0.961
Zn Al In
1 3 1
direct
0.000 0.000 0.000 Zn
0.000 0.500 0.000 Al
0.000 0.000 0.500 Al
0.500 0.000 0.000 Al
0.500 0.500 0.500 In
```

Computed properties:
formation enthalpy at 0 K	2.228	eV per formula unit
Fermi-level density of states	2.71	states/eV/cell
total magnetic moment	0.00	μB/cell
space-group type	Pm-3m
E	-2.92	eV/atom



No. 3
A plane-wave DFT calculation with PBEsol was carried out for a relaxed structure of Hf3Bi.

The structure in POSCAR format:
```
Hf3Bi
1.0
5.151 0.000 0.000
0.000 6.232 0.000
0.000 -3.116 5.397
Hf Bi
6 2
direct
0.250 0.676 0.838 Hf
0.250 0.162 0.324 Hf
0.250 0.162 0.838 Hf
0.750 0.324 0.162 Hf
0.750 0.838 0.676 Hf
0.750 0.838 0.162 Hf
0.750 0.333 0.667 Bi
0.250 0.667 0.333 Bi
```

Computed properties:
formation enthalpy at 0 K	-0.212	eV per formula unit
Fermi-level density of states	10.60	states/eV/cell
total magnetic moment	0.00	μB/cell
space-group type	P6_3/mmc
E	-9.00	eV/atom